(1)
CsSbH2Pt | PBE-GGA | relaxed

a b c (Å): 6.430 4.523 8.005
angles (deg): 90.00 90.37 90.00
Fractional coordinates of all 10 atoms:
Pt (0.099, 0.000, 0.970)
Pt (0.099, 0.500, 0.470)
Sb (0.090, 0.000, 0.302)
Sb (0.090, 0.500, 0.802)
H (0.747, 0.000, 0.966)
H (0.747, 0.500, 0.466)
H (0.624, 0.500, 0.465)
H (0.624, 0.000, 0.965)
Cs (0.559, 0.500, 0.135)
Cs (0.559, 0.000, 0.635)

## Properties
**Energy above the lowest structure with this stoichiometry**: 104.0 meV/atom
**Fermi-level density of states**: 0.55 states/eV per atom
**Symmetry**: No. 8

---

(2)
CsSbH2Pt | PBE-GGA | relaxed

a b c (Å): 4.517 4.544 6.314
angles (deg): 93.11 91.47 113.27
Fractional coordinates of all 5 atoms:
Pt (0.005, 0.643, 0.069)
H (0.702, 0.393, 0.197)
H (0.225, 0.439, 0.079)
Sb (0.628, 0.970, 0.996)
Cs (0.231, 0.277, 0.539)

## Properties
**Energy above the lowest structure with this stoichiometry**: 35.2 meV/atom
**Fermi-level density of states**: 0.00 states/eV per atom
**Symmetry**: No. 1

---

- Among the records above, which one has the highest Fermi-level density of states?
  number 1

---

- Among the records above, which one has the highest Fermi-level density of states?
  number 1

---

- Look up the Fermi-level density of states of the first one.
  0.55 states/eV per atom